No. 1
Compound: YTiSnP2
Source: the Alexandria database
Functional: PBE
Structure: relaxed

V   115 Å³/f.u.
Symmetry   P4/mmm
Theoretical density   4.6 g cm⁻³
Energy   -6.07 eV/atom
DOS(E_F)   4.10 states/eV per cell

Unit cell a=4.695 b=4.695 c=5.231 alpha=90.00 beta=90.00 gamma=90.00
Fractional coordinates of all 5 atoms:
Y 0.000 0.000 0.000
Ti 0.500 0.500 0.500
Sn 0.500 0.500 0.000
P 0.000 0.500 0.500
P 0.500 0.000 0.500

No. 2
Compound: TlSn2P
Source: the Alexandria database
Functional: PBE
Structure: relaxed

V   101 Å³/f.u.
Symmetry   Fm-3m
ΔE to the lowest computed polymorph   0.2946 eV per atom
Theoretical density   7.8 g cm⁻³
DOS(E_F)   2.93 states/eV per cell

Unit cell a=5.229 b=5.229 c=5.229 alpha=60.00 beta=60.00 gamma=60.00
Fractional coordinates of all 4 atoms:
Tl 0.000 0.000 0.000
Sn 0.250 0.250 0.250
Sn 0.750 0.750 0.750
P 0.500 0.500 0.500

No. 3
Compound: Tl4SnP2
Source: the Alexandria database
Functional: PBE
Structure: relaxed

V   249 Å³/f.u.
Symmetry   I4/mmm
Theoretical density   6.7 g cm⁻³
Energy   -3.11 eV/atom
DOS(E_F)   4.49 states/eV per cell

Unit cell a=8.111 b=8.111 c=8.111 alpha=136.59 beta=136.59 gamma=63.07
Fractional coordinates of all 7 atoms:
Tl 0.000 0.500 0.500
Tl 0.227 0.227 0.000
Tl 0.500 0.000 0.500
Tl 0.773 0.773 0.000
Sn 0.000 0.000 0.000
P 0.423 0.423 0.000
P 0.577 0.577 0.000

No. 4
Compound: TlSn2P
Source: the Alexandria database
Functional: PBE
Structure: relaxed

V   108 Å³/f.u.
Symmetry   R-3m
ΔE to the lowest computed polymorph   0.0000 eV per atom
Theoretical density   7.3 g cm⁻³
DOS(E_F)   1.53 states/eV per cell

Unit cell a=9.138 b=9.138 c=9.138 alpha=23.69 beta=23.69 gamma=23.69
Fractional coordinates of all 4 atoms:
Tl 0.000 0.000 0.000
Sn 0.231 0.231 0.231
Sn 0.769 0.769 0.769
P 0.500 0.500 0.500

No. 5
Compound: TlSn2P
Source: the Alexandria database
Functional: PBE
Structure: relaxed

V   109 Å³/f.u.
Symmetry   R3m
ΔE to the lowest computed polymorph   0.0058 eV per atom
Theoretical density   7.2 g cm⁻³
DOS(E_F)   1.73 states/eV per cell

Unit cell a=9.109 b=9.109 c=9.109 alpha=23.87 beta=23.87 gamma=23.87
Fractional coordinates of all 4 atoms:
Tl 0.000 0.000 0.000
Sn 0.229 0.229 0.229
Sn 0.435 0.435 0.435
P 0.832 0.832 0.832

No. 6
Compound: TlSn2P
Source: the Alexandria database
Functional: PBE
Structure: relaxed

V   102 Å³/f.u.
Symmetry   P4/mmm
ΔE to the lowest computed polymorph   0.0982 eV per atom
Theoretical density   7.7 g cm⁻³
DOS(E_F)   2.18 states/eV per cell

Unit cell a=3.614 b=3.614 c=7.812 alpha=90.00 beta=90.00 gamma=90.00
Fractional coordinates of all 4 atoms:
Tl 0.000 0.000 0.000
Sn 0.500 0.500 0.306
Sn 0.500 0.500 0.694
P 0.000 0.000 0.500

No. 7
Compound: TlSn2P
Source: the Alexandria database
Functional: PBE
Structure: relaxed

V   131 Å³/f.u.
Symmetry   I-42d
ΔE to the lowest computed polymorph   0.1050 eV per atom
Theoretical density   6.0 g cm⁻³
DOS(E_F)   0.60 states/eV per cell

Unit cell a=7.725 b=7.725 c=7.725 alpha=130.40 beta=130.40 gamma=72.77
Fractional coordinates of all 8 atoms:
Tl 0.000 0.000 0.000
Tl 0.750 0.250 0.500
Sn 0.160 0.625 0.035
Sn 0.375 0.410 0.535
Sn 0.590 0.125 0.965
Sn 0.875 0.840 0.465
P 0.250 0.750 0.500
P 0.500 0.500 0.000

No. 8
Compound: Tm2SnP
Source: the Alexandria database
Functional: PBE
Structure: relaxed

V   99 Å³/f.u.
Symmetry   R-3m
Theoretical density   8.2 g cm⁻³
Energy   -5.69 eV/atom
DOS(E_F)   1.48 states/eV per cell

Unit cell a=7.951 b=7.951 c=7.951 alpha=28.22 beta=28.22 gamma=28.22
Fractional coordinates of all 4 atoms:
Tm 0.235 0.235 0.235
Tm 0.765 0.765 0.765
Sn 0.000 0.000 0.000
P 0.500 0.500 0.500

No. 9
Compound: USnP
Source: the Alexandria database
Functional: PBE
Structure: relaxed

V   70 Å³/f.u.
Symmetry   P-6m2
Theoretical density   9.1 g cm⁻³
Energy   -6.91 eV/atom
DOS(E_F)   13.94 states/eV per cell

Unit cell a=3.611 b=3.611 c=12.476 alpha=90.00 beta=90.00 gamma=120.00
Fractional coordinates of all 6 atoms:
U 0.000 0.000 0.146
U 0.000 0.000 0.854
Sn 0.667 0.333 0.356
Sn 0.667 0.333 0.644
P 0.000 0.000 0.500
P 0.667 0.333 0.000

No. 10
Compound: V2SnP
Source: the Alexandria database
Functional: PBE
Structure: relaxed

V   67 Å³/f.u.
Symmetry   I-42d
ΔE to the lowest computed polymorph   0.0000 eV per atom
Theoretical density   6.2 g cm⁻³
DOS(E_F)   7.94 states/eV per cell

Unit cell a=5.645 b=5.645 c=5.645 alpha=103.74 beta=103.74 gamma=121.67
Fractional coordinates of all 8 atoms:
V 0.062 0.625 0.937
V 0.375 0.312 0.437
V 0.688 0.125 0.063
V 0.875 0.938 0.563
Sn 0.250 0.750 0.500
Sn 0.500 0.500 0.000
P 0.000 0.000 0.000
P 0.750 0.250 0.500

No. 11
Compound: VSnP2
Source: the Alexandria database
Functional: PBE
Structure: relaxed

V   94 Å³/f.u.
Symmetry   R-3m
Theoretical density   4.1 g cm⁻³
Energy   -5.38 eV/atom
DOS(E_F)   3.65 states/eV per cell

Unit cell a=8.117 b=8.117 c=8.117 alpha=26.49 beta=26.49 gamma=26.49
Fractional coordinates of all 4 atoms:
V 0.000 0.000 0.000
Sn 0.500 0.500 0.500
P 0.100 0.100 0.100
P 0.900 0.900 0.900

No. 12
Compound: V3SnP
Source: the Alexandria database
Functional: PBE
Structure: relaxed

V   124 Å³/f.u.
Symmetry   Pm-3m
ΔE to the lowest computed polymorph   1.5102 eV per atom
Theoretical density   4.0 g cm⁻³
DOS(E_F)   8.62 states/eV per cell

Unit cell a=4.992 b=4.992 c=4.992 alpha=90.00 beta=90.00 gamma=90.00
Fractional coordinates of all 5 atoms:
V 0.000 0.000 0.500
V 0.000 0.500 0.000
V 0.500 0.000 0.000
Sn 0.000 0.000 0.000
P 0.500 0.500 0.500

Question: Which of these has the highest DOS(E_F)?
Answer: USnP